Record 1
Density functional theory data (PBE) for an optimized crystal structure of NaAlFe2.

theoretical density = 3.4 g/cm3
crystal system = tetragonal
energy relative to the elements = 790.3 meV/atom
symmetry = I-42d (122)
total DFT energy (no corrections) = -0.3459 Ry per atom

Cell: 4.259 4.259 9.327 Å, 76.80 76.80 90.00°
Each line ends with the local moment (μB).
Element x y z (fractional)
Na: 0.500 0.500 0.000  -0.01
Na: 0.250 0.750 0.500  -0.01
Fe: 0.787 0.125 0.250  2.36
Fe: 0.963 0.625 0.250  2.36
Fe: 0.375 0.213 0.750  2.33
Fe: 0.875 0.037 0.750  2.33
Al: 0.000 0.000 0.000  -0.07
Al: 0.750 0.250 0.500  -0.07

=====

Record 2
Density functional theory data (PBE) for an optimized crystal structure of LiTiP2O8.

E_form (uncorrected) = -2.173 eV/atom
theoretical density = 3.4 g/cm3
crystal system = tetragonal
symmetry = I-4m2 (119)
total DFT energy (no corrections) = -0.5290 Ry per atom

Cell: 5.392 5.392 5.392 Å, 106.36 106.36 115.90°
Each line ends with the local moment (μB).
Element x y z (fractional)
Li: 0.000 0.000 0.000  0.00
Ti: 0.250 0.750 0.500  -0.04
P: 0.750 0.250 0.500  -0.01
P: 0.500 0.500 0.000  -0.01
O: 0.392 0.074 0.318  0.13
O: 0.340 0.533 0.193  0.09
O: 0.340 0.147 0.807  0.09
O: 0.756 0.074 0.682  0.13
O: 0.853 0.660 0.193  0.09
O: 0.926 0.244 0.318  0.13
O: 0.926 0.608 0.682  0.13
O: 0.467 0.660 0.807  0.09

=====

Record 3
Density functional theory data (PBE) for an optimized crystal structure of Li3Zn3Ni5.

theoretical density = 4.5 g/cm3
crystal system = hexagonal
energy relative to the elements = 345.8 meV/atom
symmetry = P-62m (189)
total DFT energy (no corrections) = -0.2316 Ry per atom

Cell: 4.199 7.201 7.201 Å, 120.00 90.00 90.00°
Element x y z (fractional)
Li: 0.500 0.755 0.000
Li: 0.500 0.245 0.245
Li: 0.500 0.000 0.755
Zn: 0.000 0.519 0.000
Zn: 0.000 0.000 0.519
Zn: 0.000 0.481 0.481
Ni: 0.500 0.667 0.333
Ni: 0.500 0.333 0.667
Ni: 0.500 0.384 0.000
Ni: 0.500 0.616 0.616
Ni: 0.500 0.000 0.384